DFT (GGA-PBE) results for Rb2SrPaS4 after structural relaxation.

Summary:
Its total magnetization is 1.00 Bohr magnetons per cell. The theoretical density is 4.24 Mg/m³. For the total energy, the calculation gives -42.8 eV per cell. For the density of states at the Fermi level, the calculation gives 5.42 states/eV/f.u.

Unit cell a=7.430 b=4.243 c=8.062 alpha=90.00 beta=107.65 gamma=90.00
Space group P2/m (No. 10)
One atom of each set of equivalent atoms:
Rb (0.000, 0.000, 0.000) x1
Rb (0.500, 0.500, 0.000) x1
Sr (0.000, 0.500, 0.500) x1
Pa (0.500, 0.000, 0.500) x1
S (0.261, 0.000, 0.697) x2
S (0.289, 0.500, 0.306) x2